# AgAsPt2 | Alexandria via LeMat-Bulk | PBE | relaxed
data_AgAsPt2
_space_group_name_H-M_alt 'P 1'
_space_group_IT_number 1
_cell_length_a 4.556
_cell_length_b 4.556
_cell_length_c 4.556
_cell_angle_alpha 60.00
_cell_angle_beta 60.00
_cell_angle_gamma 60.00
loop_
_space_group_symop_operation_xyz
'x,y,z'
loop_
_atom_site_label
_atom_site_type_symbol
_atom_site_fract_x
_atom_site_fract_y
_atom_site_fract_z
_atom_site_occupancy
Ag1 Ag 0.000 0.000 0.000 1
As1 As 0.250 0.250 0.250 1
Pt1 Pt 0.500 0.500 0.500 1
Pt2 Pt 0.750 0.750 0.750 1
# DOS(E_F): 2.9 states/eV per cell
# Energy: -4.802 eV/atom
# Space group: F-43m, No. 216
# Energy of formation from the pure elements: 0.094 eV per atom